1.
# Hf4In3Re

A geometry-optimized Hf4In3Re structure (PBE, the Alexandria database).

- Space group: No. 123
- ΔE_f: -0.201 eV/atom

```
Hf4In3Re
1.0
-2.069 -0.153 -2.474
-1.134 -2.807 1.122
-11.006 7.933 8.717
In Hf Re
3 4 1
direct
0.500 0.500 0.237
0.500 0.500 0.500
0.500 0.500 0.763
0.000 0.000 0.099
0.000 0.000 0.901
0.000 0.000 0.367
0.000 0.000 0.633
0.500 0.500 0.000
```



2.
# ZrCS2Cl

A geometry-optimized ZrCS2Cl structure (PBE, the Alexandria database).

- Space group: No. 123
- Formation energy (no corrections): 0.522 eV/atom

```
ZrCS2Cl
1.0
-0.471 -3.313 -2.576
0.343 -2.614 3.299
-4.140 0.158 0.555
Cl C Zr S
1 1 1 2
direct
0.000 0.000 0.500
0.000 0.000 0.000
0.500 0.500 0.500
0.000 0.500 0.000
0.500 0.000 0.000
```



3.
# CaY2Al6

A geometry-optimized CaY2Al6 structure (PBE, the Alexandria database).

- Space group: No. 191
- ΔE_f: -0.413 eV/atom

```
CaY2Al6
1.0
-1.438 -2.889 1.453
7.098 -3.557 -0.048
-2.251 4.285 6.294
Al Y Ca
6 2 1
direct
0.500 0.335 0.000
0.500 0.000 0.665
0.500 0.000 0.335
0.500 0.335 0.335
0.500 0.665 0.000
0.500 0.665 0.665
0.000 0.333 0.667
0.000 0.667 0.333
0.000 0.000 0.000
```



4.
# Sc6Fe2Ag

A geometry-optimized Sc6Fe2Ag structure (PBE, the Alexandria database).

- Space group: No. 71
- ΔE_f: -0.154 eV/atom

```
Sc6Fe2Ag
1.0
7.286 0.030 -2.647
-3.841 6.356 -2.223
-0.071 -0.030 7.752
Sc Ag Fe
12 2 4
direct
0.785 0.228 0.013
0.215 0.772 0.987
0.785 0.772 0.557
0.522 0.712 0.810
0.294 0.981 0.687
0.706 0.393 0.687
0.215 0.228 0.443
0.706 0.019 0.313
0.478 0.288 0.190
0.097 0.288 0.810
0.903 0.712 0.190
0.294 0.607 0.313
0.000 0.000 0.000
0.000 0.500 0.500
0.622 0.000 0.622
0.500 0.386 0.886
0.378 0.000 0.378
0.500 0.614 0.114
```



5.
# TaZn2

A geometry-optimized TaZn2 structure (PBE, the Alexandria database).

- Space group: No. 205
- ΔE_f: 1.144 eV/atom

```
TaZn2
1.0
6.246 0.000 0.000
0.000 6.246 0.000
0.000 0.000 6.246
Zn Ta
8 4
direct
0.618 0.618 0.618
0.618 0.882 0.118
0.882 0.382 0.118
0.118 0.618 0.882
0.118 0.882 0.382
0.382 0.118 0.882
0.382 0.382 0.382
0.882 0.118 0.618
0.500 0.500 0.000
0.000 0.000 0.000
0.000 0.500 0.500
0.500 0.000 0.500
```



6.
# YTa2Se

A geometry-optimized YTa2Se structure (PBE, the Alexandria database).

- Space group: No. 166
- Formation energy (no corrections): 0.127 eV/atom

```
YTa2Se
1.0
9.250 0.001 0.000
8.677 3.206 0.000
8.677 1.552 2.805
Se Y Ta
1 1 2
direct
0.750 0.750 0.750
0.250 0.250 0.250
0.012 0.012 0.012
0.488 0.488 0.488
```